[1]
The following is a DFT calculation (PBE) of a relaxed structure of LiTbEr2S5.

Energy in eV/atom: -5.88
Volume in Å³/f.u.: 184
ΔE_f (raw) in eV/atom: -1.85
Magnetization in μB per cell: 0.0

Cell lengths 3.8770, 8.2857, 11.8118 Å; angles 90.00, 90.00, 103.53 degrees
Last column: nearest neighbours and their distance in Å.
Sites, in units of the cell vectors:
S 0.6926 0.3852 0.8373  2 Tb 2.72, 3 Er 2.99-3.03
S 0.3638 0.7276 0.0059  1 Li 2.40
S 0.5002 0.0004 0.2859  1 Li 2.33
S 0.4998 0.9996 0.7859  1 Li 2.33
S 0.7122 0.4243 0.1639  2 Tb 2.76, 3 Er 2.83-2.90
S 0.2878 0.5757 0.6639  2 Tb 2.76, 3 Er 2.83-2.90
S 0.3074 0.6148 0.3373  2 Tb 2.72, 3 Er 2.99-3.03
S 0.9555 0.9110 0.5765  2 Li 2.29
S 0.6362 0.2724 0.5059  1 Li 2.40
S 0.0445 0.0890 0.0765  2 Li 2.29
Er 0.8917 0.7833 0.1832  8 S 2.77-2.99
Er 0.1226 0.2452 0.2892  6 S 2.77-3.03
Er 0.8774 0.7548 0.7892  6 S 2.77-3.03
Er 0.1083 0.2167 0.6832  8 S 2.77-2.99
Li 0.5119 0.0237 0.9826  4 S 2.29-2.40
Li 0.4881 0.9763 0.4826  4 S 2.29-2.40
Tb 0.8037 0.6073 0.4994  6 S 2.61-2.76
Tb 0.1963 0.3927 0.9994  6 S 2.61-2.76

=====

[2]
The following is a DFT calculation (PBE) of a relaxed structure of Ba2LiRhPb.

Energy in eV/atom: -3.55
Volume in Å³/f.u.: 196
DOS at the Fermi energy in states/eV per cell: 5.8
Magnetization in μB per cell: 0.0

Cell lengths 6.0826, 5.2990, 6.0826 Å; angles 90.00, 90.00, 90.00 degrees
Last column: nearest neighbours and their distance in Å.
Sites, in units of the cell vectors:
Ba 0.0000 0.0000 0.5000  2 Rh 3.04
Ba 0.5000 0.0000 0.0000  2 Rh 3.04
Pb 0.0000 0.5000 0.0000  2 Rh 2.65
Rh 0.0000 0.0000 0.0000  2 Pb 2.65
Li 0.5000 0.5000 0.5000  8 Ba 4.03, 4 Pb 4.30

=====

[3]
The following is a DFT calculation (PBE) of a relaxed structure of CeSmSi.

Energy in eV/atom: -5.92
Volume in Å³/f.u.: 76
DOS at the Fermi energy in states/eV per cell: 10.1
ΔE to the lowest computed polymorph in meV/atom: 0
ΔE_f (raw) in eV/atom: -0.56
Magnetization in μB per cell: 1.0

Cell lengths 4.2437, 4.2437, 8.9316 Å; angles 103.74, 103.74, 90.00 degrees
Last column: nearest neighbours and their distance in Å.
Sites, in units of the cell vectors:
Si 0.3648 0.3648 0.7296  5 Sm 3.09-3.11, 4 Ce 3.11
Si 0.6352 0.6352 0.2704  5 Sm 3.09-3.11, 4 Ce 3.11
Sm 0.1801 0.1801 0.3602  5 Si 3.09-3.11
Sm 0.8199 0.8199 0.6398  5 Si 3.09-3.11
Ce 0.5000 0.0000 0.0000  4 Ce 3.00, 4 Si 3.11
Ce 0.0000 0.5000 0.0000  4 Ce 3.00, 4 Si 3.11

=====

[4]
The following is a DFT calculation (PBE) of a relaxed structure of La2YCl.

Energy in eV/atom: -4.66
Volume in Å³/f.u.: 126
DOS at the Fermi energy in states/eV per cell: 7.9
ΔE to the lowest computed polymorph in meV/atom: 564
ΔE_f (raw) in eV/atom: -0.12
Magnetization in μB per cell: 0.0

Cell lengths 6.4058, 6.4058, 6.4058 Å; angles 135.70, 135.70, 64.44 degrees
Last column: nearest neighbours and their distance in Å.
Sites, in units of the cell vectors:
Cl 0.7500 0.2500 0.5000  4 Y 3.42, 8 La 3.63
La 0.5000 0.5000 0.0000  4 La 3.42, 4 Y 3.63, 4 Cl 3.63
La 0.0000 0.0000 0.0000  4 La 3.42, 4 Cl 3.63, 4 Y 3.63
Y 0.2500 0.7500 0.5000  4 Cl 3.42, 8 La 3.63

=====

[5]
The following is a DFT calculation (PBE) of a relaxed structure of ErTmCu.

Energy in eV/atom: -4.52
Volume in Å³/f.u.: 74
DOS at the Fermi energy in states/eV per cell: 6.7
ΔE to the lowest computed polymorph in meV/atom: 28
Magnetization in μB per cell: 0.0

Cell lengths 4.1962, 5.5116, 8.1569 Å; angles 124.60, 104.91, 90.00 degrees
Last column: nearest neighbours and their distance in Å.
Sites, in units of the cell vectors:
Tm 0.8542 0.5199 0.7084  4 Cu 2.82-3.08
Tm 0.1458 0.4801 0.2916  4 Cu 2.82-3.08
Cu 0.7639 0.8857 0.5279  2 Cu 2.61, 3 Tm 2.82-2.90, 3 Er 2.88
Cu 0.2361 0.1143 0.4721  2 Cu 2.61, 3 Tm 2.82-2.90, 3 Er 2.88
Er 0.5819 0.8877 0.1639  3 Cu 2.88
Er 0.4181 0.1123 0.8361  3 Cu 2.88

=====

[6]
The following is a DFT calculation (PBE) of a relaxed structure of Mn2AgRh2.

Energy in eV/atom: -6.97
Volume in Å³/f.u.: 70
DOS at the Fermi energy in states/eV per cell: 13.9
ΔE to the lowest computed polymorph in meV/atom: 0
Magnetization in μB per cell: 0.0

Cell lengths 7.2024, 7.2024, 2.6817 Å; angles 90.00, 90.00, 90.00 degrees
Last column: nearest neighbours and their distance in Å.
Sites, in units of the cell vectors:
Ag 0.5000 0.5000 0.0000  2 Ag 2.68, 4 Mn 2.90, 8 Rh 2.98
Ag 0.0000 0.0000 0.0000  2 Ag 2.68, 4 Mn 2.90, 8 Rh 2.98
Rh 0.1734 0.6734 0.5000  6 Mn 2.50-2.56, 2 Rh 2.68
Rh 0.8266 0.3266 0.5000  6 Mn 2.50-2.56, 2 Rh 2.68
Rh 0.3266 0.1734 0.5000  6 Mn 2.50-2.56, 2 Rh 2.68
Rh 0.6734 0.8266 0.5000  6 Mn 2.50-2.56, 2 Rh 2.68
Mn 0.6129 0.1129 0.0000  1 Mn 2.30, 6 Rh 2.50-2.56
Mn 0.1129 0.3871 0.0000  1 Mn 2.30, 6 Rh 2.50-2.56
Mn 0.3871 0.8871 0.0000  1 Mn 2.30, 6 Rh 2.50-2.56
Mn 0.8871 0.6129 0.0000  1 Mn 2.30, 6 Rh 2.50-2.56